Density functional theory data (PBE) for crystalline AlO at its relaxed geometry.

Cell and atoms, written as extended XYZ:
```
4
Lattice="5.1726 0.0000 0.0000 0.0000 2.9850 0.0000 -1.7454 0.0000 2.9929" Properties=species:S:1:pos:R:3 pbc="T T T"
Al 0.0000 0.0000 0.0000
Al 2.5863 1.4925 0.0000
O -0.0190 0.0000 2.1140
O 2.5673 1.4925 2.1140
```

Output
total energy	-6.0590	eV/atom
uncorrected formation energy	-3.42	eV per formula unit